Entry 1:
# CaCrIr2

CaCrIr2 at its PBEsol-relaxed geometry (SCAN, the Alexandria database).

Cell and atoms, written as POSCAR:
```
CaCrIr2
1.0
2.931 0.000 0.000
0.000 4.535 0.000
0.000 0.000 4.746
Ca Cr Ir
1 1 2
direct
0.000 0.000 0.000
0.500 0.000 0.500
0.000 0.500 0.500
0.500 0.500 0.000
```

Summary:
Relative energy among the computed polymorphs = 0.408 eV per atom
Uncorrected energy = -42.41 eV per atom
Total magnetization = 4.24 Bohr magnetons per cell
Formation enthalpy at 0 K = 0.6 eV/f.u.

Entry 2:
# K4TcSe

K4TcSe at its PBEsol-relaxed geometry (SCAN, the Alexandria database).

Cell and atoms, written as POSCAR:
```
K4TcSe
1.0
0.000 4.652 4.652
4.652 0.000 4.652
4.652 4.652 0.000
K Tc Se
4 1 1
direct
0.377 0.377 0.377
0.377 0.377 0.868
0.377 0.868 0.377
0.868 0.377 0.377
0.000 0.000 0.000
0.750 0.750 0.750
```

Summary:
Uncorrected energy = -13.97 eV per atom
Energy relative to the elements, uncorrected = 0.776 eV/atom
Total magnetization = 2.98 Bohr magnetons per cell

Entry 3:
# CoSe2

CoSe2 at its PBEsol-relaxed geometry (SCAN, the Alexandria database).

Cell and atoms, written as POSCAR:
```
CoSe2
1.0
0.000 4.773 4.773
4.773 0.000 4.773
4.773 4.773 0.000
Co Se
4 8
direct
0.000 0.000 0.000
0.000 0.000 0.500
0.000 0.500 0.000
0.500 0.000 0.000
0.234 0.755 0.755
0.245 0.245 0.245
0.245 0.245 0.766
0.245 0.766 0.245
0.755 0.234 0.755
0.755 0.755 0.234
0.755 0.755 0.755
0.766 0.245 0.245
```

Summary:
Uncorrected energy = -19.44 eV per atom
Energy relative to the elements, uncorrected = -0.282 eV/atom
Total magnetization = 0.00 Bohr magnetons per cell

Entry 4:
# LaAlSb2

LaAlSb2 at its PBEsol-relaxed geometry (SCAN, the Alexandria database).

Cell and atoms, written as POSCAR:
```
LaAlSb2
1.0
0.000 3.752 3.752
3.752 0.000 3.752
3.752 3.752 0.000
La Al Sb
1 1 2
direct
0.000 0.000 0.000
0.250 0.250 0.250
0.500 0.500 0.500
0.750 0.750 0.750
```

Summary:
Uncorrected energy = -31.56 eV per atom
Energy relative to the elements, uncorrected = -0.219 eV/atom
Total magnetization = 0.00 Bohr magnetons per cell

Entry 5:
# TbUTe6

TbUTe6 at its PBEsol-relaxed geometry (SCAN, the Alexandria database).

Cell and atoms, written as POSCAR:
```
TbUTe6
1.0
4.313 0.000 0.000
0.000 2.153 12.488
0.000 -2.153 12.488
Tb U Te
1 1 6
direct
0.000 0.000 0.000
0.500 0.664 0.664
0.000 0.128 0.128
0.000 0.405 0.405
0.000 0.758 0.758
0.500 0.258 0.258
0.500 0.538 0.538
0.500 0.904 0.904
```

Summary:
Uncorrected energy = -47.48 eV per atom
Energy relative to the elements, uncorrected = -0.760 eV/atom
Total magnetization = 2.38 Bohr magnetons per cell

Entry 6:
# CsCa3Hf

CsCa3Hf at its PBEsol-relaxed geometry (SCAN, the Alexandria database).

Cell and atoms, written as POSCAR:
```
CsCa3Hf
1.0
6.248 0.000 0.000
0.000 6.248 0.000
0.000 0.000 6.248
Cs Ca Hf
1 3 1
direct
0.000 0.000 0.000
0.000 0.500 0.500
0.500 0.000 0.500
0.500 0.500 0.000
0.500 0.500 0.500
```

Summary:
Uncorrected energy = -25.09 eV per atom
Total magnetization = 3.10 Bohr magnetons per cell
Formation enthalpy at 0 K = 4.0 eV/f.u.

Entry 7:
# Mn2BiS

Mn2BiS at its PBEsol-relaxed geometry (SCAN, the Alexandria database).

Cell and atoms, written as POSCAR:
```
Mn2BiS
1.0
0.000 3.217 3.217
3.217 0.000 3.217
3.217 3.217 0.000
Mn Bi S
2 1 1
direct
0.250 0.250 0.250
0.750 0.750 0.750
0.000 0.000 0.000
0.500 0.500 0.500
```

Summary:
Uncorrected energy = -31.02 eV per atom
Energy relative to the elements, uncorrected = 0.160 eV/atom
Total magnetization = 6.59 Bohr magnetons per cell

Entry 8:
# KAuBr

KAuBr at its PBEsol-relaxed geometry (SCAN, the Alexandria database).

Cell and atoms, written as POSCAR:
```
KAuBr
1.0
0.000 3.631 3.631
3.631 0.000 3.631
3.631 3.631 0.000
K Au Br
1 1 1
direct
0.000 0.000 0.000
0.250 0.250 0.250
0.750 0.750 0.750
```

Summary:
Uncorrected energy = -32.59 eV per atom
Energy relative to the elements, uncorrected = -0.271 eV/atom
Total magnetization = 0.00 Bohr magnetons per cell

Entry 9:
# Si4SbO10

Si4SbO10 at its PBEsol-relaxed geometry (SCAN, the Alexandria database).

Cell and atoms, written as POSCAR:
```
Si4SbO10
1.0
7.344 0.000 0.000
0.000 7.344 0.000
0.000 0.000 15.809
Si Sb O
16 4 40
direct
0.003 0.077 0.151
0.003 0.423 0.651
0.077 0.003 0.651
0.077 0.497 0.151
0.423 0.003 0.151
0.423 0.497 0.651
0.497 0.077 0.651
0.497 0.423 0.151
0.503 0.577 0.849
0.503 0.923 0.349
0.577 0.503 0.349
0.577 0.997 0.849
0.923 0.503 0.849
0.923 0.997 0.349
0.997 0.577 0.349
0.997 0.923 0.849
0.250 0.250 0.445
0.250 0.250 0.945
0.750 0.750 0.055
0.750 0.750 0.555
0.001 0.206 0.630
0.001 0.294 0.130
0.012 0.155 0.407
0.012 0.345 0.907
0.043 0.543 0.250
0.043 0.957 0.750
0.155 0.012 0.907
0.155 0.488 0.407
0.206 0.001 0.130
0.206 0.499 0.630
0.294 0.001 0.630
0.294 0.499 0.130
0.345 0.012 0.407
0.345 0.488 0.907
0.457 0.543 0.750
0.457 0.957 0.250
0.488 0.155 0.907
0.488 0.345 0.407
0.499 0.206 0.130
0.499 0.294 0.630
0.501 0.706 0.370
0.501 0.794 0.870
0.512 0.655 0.593
0.512 0.845 0.093
0.543 0.043 0.750
0.543 0.457 0.250
0.655 0.512 0.093
0.655 0.988 0.593
0.706 0.501 0.870
0.706 0.999 0.370
0.794 0.501 0.370
0.794 0.999 0.870
0.845 0.512 0.593
0.845 0.988 0.093
0.957 0.043 0.250
0.957 0.457 0.750
0.988 0.655 0.093
0.988 0.845 0.593
0.999 0.706 0.870
0.999 0.794 0.370
```

Summary:
Uncorrected energy = -11.86 eV per atom
Energy relative to the elements, uncorrected = -2.547 eV/atom
Total magnetization = 4.00 Bohr magnetons per cell

Entry 10:
# TiReTc2

TiReTc2 at its PBEsol-relaxed geometry (SCAN, the Alexandria database).

Cell and atoms, written as POSCAR:
```
TiReTc2
1.0
0.000 3.062 3.062
3.062 0.000 3.062
3.062 3.062 0.000
Ti Re Tc
1 1 2
direct
0.000 0.000 0.000
0.500 0.500 0.500
0.250 0.250 0.250
0.750 0.750 0.750
```

Summary:
Uncorrected energy = -39.69 eV per atom
Total magnetization = 0.00 Bohr magnetons per cell
Formation enthalpy at 0 K = -1.5 eV/f.u.

Entry 11:
# Cs2MnAsRh

Cs2MnAsRh at its PBEsol-relaxed geometry (SCAN, the Alexandria database).

Cell and atoms, written as POSCAR:
```
Cs2MnAsRh
1.0
6.612 0.000 0.000
0.000 6.612 0.000
0.000 0.000 4.501
Cs Mn As Rh
2 1 1 1
direct
0.000 0.500 0.000
0.500 0.000 0.000
0.000 0.000 0.000
0.000 0.000 0.500
0.500 0.500 0.500
```

Summary:
Uncorrected energy = -28.95 eV per atom
Total magnetization = 6.86 Bohr magnetons per cell
Formation enthalpy at 0 K = 3.1 eV/f.u.

Entry 12:
# Li2CdH

Li2CdH at its PBEsol-relaxed geometry (SCAN, the Alexandria database).

Cell and atoms, written as POSCAR:
```
Li2CdH
1.0
-2.755 2.755 3.750
2.755 -2.755 3.750
2.755 2.755 -3.750
Li Cd H
4 2 2
direct
0.375 0.184 0.309
0.816 0.125 0.191
0.875 0.066 0.691
0.934 0.625 0.809
0.250 0.750 0.500
0.500 0.500 0.000
0.000 0.000 0.000
0.750 0.250 0.500
```

Summary:
Uncorrected energy = -9.87 eV per atom
Total magnetization = 0.00 Bohr magnetons per cell